Entry 1:
LiCa2RhPb | PBE-GGA | relaxed

Cell: 5.4619 5.4619 5.2412 Å, 90.00 90.00 90.00°
Element x y z (fractional)
Pb  0.0000  0.0000  0.5000
Ca  0.0000  0.5000  0.0000
Ca  0.5000  0.0000  0.0000
Rh  0.0000  0.0000  0.0000
Li  0.5000  0.5000  0.5000

Properties
**E_form**: -0.2353 eV per atom

***

Entry 2:
LiCaRuPb2 | PBE-GGA | relaxed

Cell: 5.2523 4.8669 5.2523 Å, 90.00 90.00 90.00°
Element x y z (fractional)
Pb  0.0000  0.0000  0.5000
Pb  0.5000  0.0000  0.0000
Ru  0.0000  0.0000  0.0000
Ca  0.5000  0.5000  0.5000
Li  0.0000  0.5000  0.0000

Properties
**E_form**: 0.0570 eV per atom

***

Entry 3:
LiCa2PbS | PBE-GGA | relaxed

Cell: 5.5276 5.5276 4.4100 Å, 90.00 90.00 90.00°
Element x y z (fractional)
Pb  0.5000  0.5000  0.5000
Ca  0.0000  0.5000  0.0000
Ca  0.5000  0.0000  0.0000
S  0.0000  0.0000  0.0000
Li  0.0000  0.0000  0.5000

Properties
**E_form (uncorrected)**: -1.005 eV/atom

***

Entry 4:
LiCa2PbSe | PBE-GGA | relaxed

Cell: 5.6708 5.6708 4.5705 Å, 90.00 90.00 90.00°
Element x y z (fractional)
Pb  0.5000  0.5000  0.5000
Ca  0.0000  0.5000  0.0000
Ca  0.5000  0.0000  0.0000
Se  0.0000  0.0000  0.0000
Li  0.0000  0.0000  0.5000

Properties
**E_form (uncorrected)**: -0.885 eV/atom

***

Entry 5:
LiCaSi2Pb | PBE-GGA | relaxed

Cell: 4.7425 4.9760 4.7425 Å, 90.00 90.00 90.00°
Element x y z (fractional)
Pb  0.0000  0.5000  0.0000
Ca  0.5000  0.5000  0.5000
Si  0.0000  0.0000  0.5000
Si  0.5000  0.0000  0.0000
Li  0.0000  0.0000  0.0000

Properties
**E_form (uncorrected)**: 0.230 eV/atom

***

Entry 6:
Li2Ca2SmPb2 | PBE-GGA | relaxed

Cell: 4.9177 4.9177 9.7344 Å, 75.37 75.37 60.00°
Site moments in Bohr magnetons follow the coordinates.
Element x y z (fractional)
Li  0.6016  0.6016  0.1952  0.01
Li  0.3984  0.3984  0.8048  0.01
Ca  0.1282  0.1282  0.6153  0.06
Ca  0.8718  0.8718  0.3847  0.06
Sm  0.0000  0.0000  0.0000  0.12
Pb  0.7354  0.7354  0.7937  -0.01
Pb  0.2646  0.2646  0.2063  -0.01

Properties
**E_form**: -0.4058 eV per atom

***

Entry 7:
LiCaSmPb | PBE-GGA | relaxed

Cell: 5.4189 5.4189 5.4189 Å, 60.00 60.00 60.00°
Element x y z (fractional)
Pb  0.5000  0.5000  0.5000
Ca  0.2500  0.2500  0.2500
Sm  0.7500  0.7500  0.7500
Li  0.0000  0.0000  0.0000

Properties
**E_form**: -0.3278 eV per atom

***

Entry 8:
Li2CaSm2Pb2 | PBE-GGA | relaxed

Cell: 4.8976 4.8976 9.7710 Å, 75.49 75.49 60.00°
Element x y z (fractional)
Li  0.5962  0.5962  0.2113
Li  0.4038  0.4038  0.7887
Ca  0.0000  0.0000  0.0000
Sm  0.1289  0.1289  0.6132
Sm  0.8711  0.8711  0.3868
Pb  0.7404  0.7404  0.7788
Pb  0.2596  0.2596  0.2212

Properties
**E_form**: -0.3584 eV per atom

***

Entry 9:
SrLi2Ca2Pb2 | PBE-GGA | relaxed

Cell: 5.0847 5.0847 9.9223 Å, 75.15 75.15 60.00°
Element x y z (fractional)
Sr  0.0000  0.0000  0.0000
Li  0.5941  0.5941  0.2177
Li  0.4059  0.4059  0.7823
Ca  0.1297  0.1297  0.6109
Ca  0.8703  0.8703  0.3891
Pb  0.7466  0.7466  0.7601
Pb  0.2534  0.2534  0.2399

Properties
**E_form**: -0.4554 eV per atom

***

Entry 10:
Li2Ca2TbPb2 | PBE-GGA | relaxed

Cell: 4.8914 4.8914 9.7072 Å, 75.41 75.41 60.00°
Site moments in Bohr magnetons follow the coordinates.
Element x y z (fractional)
Li  0.6050  0.6050  0.1850  0.01
Li  0.3950  0.3950  0.8150  0.01
Ca  0.1274  0.1274  0.6178  0.06
Ca  0.8726  0.8726  0.3822  0.06
Tb  0.0000  0.0000  0.0000  0.15
Pb  0.7337  0.7337  0.7989  -0.01
Pb  0.2663  0.2663  0.2011  -0.01

Properties
**E_form**: -0.3932 eV per atom

***

Entry 11:
Li2CaTm2Pb2 | PBE-GGA | relaxed

Cell: 4.8582 4.8582 9.4810 Å, 75.15 75.15 60.00°
Element x y z (fractional)
Li  0.5866  0.5866  0.2402
Li  0.4134  0.4134  0.7598
Ca  0.0000  0.0000  0.0000
Tm  0.1310  0.1310  0.6071
Tm  0.8690  0.8690  0.3929
Pb  0.7429  0.7429  0.7713
Pb  0.2571  0.2571  0.2287

Properties
**E_form**: -0.3199 eV per atom

***

Entry 12:
Li2Ca2TmPb2 | PBE-GGA | relaxed

Cell: 4.8677 4.8677 9.6813 Å, 75.44 75.44 60.00°
Site moments in Bohr magnetons follow the coordinates.
Element x y z (fractional)
Li  0.6090  0.6090  0.1729  0.01
Li  0.3910  0.3910  0.8271  0.01
Ca  0.1264  0.1264  0.6207  0.06
Ca  0.8736  0.8736  0.3793  0.06
Tm  0.0000  0.0000  0.0000  0.14
Pb  0.7323  0.7323  0.8032  0.00
Pb  0.2677  0.2677  0.1968  0.00

Properties
**E_form**: -0.3717 eV per atom

***

Total magnetic moment in μB/f.u., matching the order above: 0.0, 0.0, 0.0, 0.0, 0.0, 0.9, 0.0, 0.0, 0.0, 0.9, 0.0, 0.8